No. 1
PrSm2Er12 | the Alexandria database | PBE-GGA | optimized geometry; raw total energy = -4.49 eV/atom; spin magnetization = 0.00 μB/f.u.; formation enthalpy at 0 K = 156 kJ/mol of formula units
1.0
3.544 -5.594 0.000
3.544 5.594 0.000
-1.714 0.000 24.000
Pr Sm Er
2 4 24
direct
0.249 0.249 0.000
0.751 0.751 0.000
0.071 0.071 0.282
0.428 0.428 0.717
0.572 0.572 0.283
0.929 0.929 0.718
0.033 0.033 0.137
0.047 0.547 0.193
0.084 0.584 0.331
0.139 0.636 0.555
0.141 0.141 0.573
0.234 0.732 0.932
0.268 0.766 0.068
0.357 0.357 0.428
0.364 0.861 0.445
0.416 0.916 0.669
0.453 0.953 0.807
0.467 0.467 0.861
0.533 0.533 0.139
0.547 0.047 0.193
0.584 0.084 0.331
0.636 0.139 0.555
0.643 0.643 0.572
0.732 0.234 0.932
0.766 0.268 0.068
0.859 0.859 0.427
0.861 0.364 0.445
0.916 0.416 0.669
0.953 0.453 0.807
0.967 0.967 0.863

No. 2
BaGaAs3 | the Alexandria database | PBE-GGA | optimized geometry; distance to the lowest polymorph of the same formula = 1.442 eV per atom; raw total energy = -2.77 eV/atom; spin magnetization = 0.00 μB/f.u.; formation enthalpy at 0 K = 487 kJ/mol of formula units
1.0
5.883 0.000 0.000
0.000 5.883 0.000
0.000 0.000 5.883
Ba Ga As
1 1 3
direct
0.000 0.000 0.000
0.500 0.500 0.500
0.000 0.000 0.500
0.000 0.500 0.000
0.500 0.000 0.000

No. 3
TcHg2Rh | the Alexandria database | PBE-GGA | optimized geometry; distance to the lowest polymorph of the same formula = 0.337 eV per atom; raw total energy = -4.06 eV/atom; spin magnetization = 2.60 μB/f.u.; formation enthalpy at 0 K = 202 kJ/mol of formula units
1.0
6.573 0.000 0.000
0.000 6.573 0.000
0.000 0.000 6.573
Tc Hg Rh
4 8 4
direct
0.000 0.000 0.000
0.000 0.500 0.500
0.500 0.000 0.500
0.500 0.500 0.000
0.250 0.250 0.250
0.250 0.250 0.750
0.250 0.750 0.250
0.250 0.750 0.750
0.750 0.250 0.250
0.750 0.250 0.750
0.750 0.750 0.250
0.750 0.750 0.750
0.000 0.000 0.500
0.000 0.500 0.000
0.500 0.000 0.000
0.500 0.500 0.500

Q: Which value of raw total energy does entry 3 give?
A: -4.06 eV/atom